Compound: LaFeP2O
Source: Alexandria via LeMat-Bulk
Functional: PBE+U
Structure: optimized geometry

Output
uncorrected energy	-5.0286	eV/atom
symmetry	P4/mmm, No. 123
DOS(E_F)	4.11	states/eV per cell
calculated volume	136	Å³/cell

Lattice parameters (Å, degrees): 5.6889 5.6889 4.2037 90.00 90.00 90.00
Atoms (fractional coordinates):
La  0.0000  0.0000  0.0000
Fe  0.5000  0.5000  0.5000
P  0.0000  0.5000  0.0000
P  0.5000  0.0000  0.0000
O  0.0000  0.0000  0.5000